No. 1
Material: Ba2MnOs
Method: DFT, PBE-GGA
State: relaxed

a = 4.2083 Å, b = 4.8273 Å, c = 14.0434 Å
α = 90.00°, β = 90.00°, γ = 90.00°
Space group Imm2 (No. 44)
Inequivalent atoms, fractional coordinates:
Ba  0.0000  0.0000  0.0000 [2 per cell]
Ba  0.0000  0.5000  0.2451 [2 per cell]
Mn  0.0000  0.5000  0.8284 [2 per cell]
Os  0.0000  0.0000  0.4017 [2 per cell]

Results
total moment	0.8460	μB/atom
energy above the most stable polymorph in this dataset	0.87	eV/f.u.
energy of formation from the pure elements	554.7	meV/atom

No. 2
Material: BaMnOs
Method: DFT, PBE-GGA
State: relaxed

a = 3.9784 Å, b = 3.9784 Å, c = 5.3351 Å
α = 90.00°, β = 90.00°, γ = 120.00°
Space group P3m1 (No. 156)
Inequivalent atoms, fractional coordinates:
Ba  0.0000  0.0000  0.0000 [1 per cell]
Mn  0.6667  0.3333  0.4757 [1 per cell]
Os  0.3333  0.6667  0.5238 [1 per cell]

Results
total moment	0.2561	μB/atom
energy above the most stable polymorph in this dataset	0.00	eV/f.u.
energy of formation from the pure elements	565.9	meV/atom

No. 3
Material: Ba4MnOs
Method: DFT, PBE-GGA
State: relaxed

a = 9.6336 Å, b = 9.6336 Å, c = 9.6336 Å
α = 90.00°, β = 90.00°, γ = 90.00°
Space group F-43m (No. 216)
Inequivalent atoms, fractional coordinates:
Ba  0.1240  0.1240  0.3760 [16 per cell]
Mn  0.0000  0.0000  0.0000 [4 per cell]
Os  0.2500  0.2500  0.7500 [4 per cell]

Results
total moment	0.8324	μB/atom
energy of formation from the pure elements	1470.2	meV/atom

No. 4
Material: Ba2MnOs
Method: DFT, PBE-GGA
State: relaxed

a = 7.7419 Å, b = 7.7419 Å, c = 7.7419 Å
α = 90.00°, β = 90.00°, γ = 90.00°
Space group Fm-3m (No. 225)
Inequivalent atoms, fractional coordinates:
Ba  0.2500  0.2500  0.2500 [8 per cell]
Mn  0.0000  0.0000  0.0000 [4 per cell]
Os  0.0000  0.0000  0.5000 [4 per cell]

Results
total moment	1.2691	μB/atom
energy above the most stable polymorph in this dataset	2.58	eV/f.u.
energy of formation from the pure elements	980.3	meV/atom

No. 5
Material: BaMnOs2
Method: DFT, PBE-GGA
State: relaxed

a = 2.8942 Å, b = 4.9535 Å, c = 10.2221 Å
α = 90.00°, β = 90.00°, γ = 90.00°
Space group Immm (No. 71)
Inequivalent atoms, fractional coordinates:
Ba  0.0000  0.0000  0.0000 [2 per cell]
Mn  0.0000  0.0000  0.5000 [2 per cell]
Os  0.0000  0.5000  0.2162 [4 per cell]

Results
total moment	0.6771	μB/atom
energy above the most stable polymorph in this dataset	3.00	eV/f.u.
energy of formation from the pure elements	1073.1	meV/atom

No. 6
Material: BaMnOs3
Method: DFT, PBE-GGA
State: relaxed

a = 4.6274 Å, b = 4.6274 Å, c = 4.6274 Å
α = 90.00°, β = 90.00°, γ = 90.00°
Space group Pm-3m (No. 221)
Inequivalent atoms, fractional coordinates:
Ba  0.0000  0.0000  0.0000 [1 per cell]
Mn  0.5000  0.5000  0.5000 [1 per cell]
Os  0.0000  0.5000  0.5000 [3 per cell]

Results
total moment	0.0000	μB/atom
energy above the most stable polymorph in this dataset	0.00	eV/f.u.
energy of formation from the pure elements	1333.4	meV/atom

No. 7
Material: BaMnOs2
Method: DFT, PBE-GGA
State: relaxed

a = 2.9738 Å, b = 5.4840 Å, c = 10.4195 Å
α = 90.00°, β = 90.00°, γ = 90.00°
Space group Imm2 (No. 44)
Inequivalent atoms, fractional coordinates:
Ba  0.0000  0.0000  0.0000 [2 per cell]
Mn  0.0000  0.5000  0.8027 [2 per cell]
Os  0.0000  0.0000  0.5142 [2 per cell]
Os  0.0000  0.5000  0.2093 [2 per cell]

Results
total moment	0.8323	μB/atom
energy above the most stable polymorph in this dataset	3.06	eV/f.u.
energy of formation from the pure elements	1089.8	meV/atom

No. 8
Material: BaMnOs
Method: DFT, PBE-GGA
State: relaxed

a = 6.8069 Å, b = 6.8069 Å, c = 6.8069 Å
α = 90.00°, β = 90.00°, γ = 90.00°
Space group F-43m (No. 216)
Inequivalent atoms, fractional coordinates:
Ba  0.0000  0.0000  0.0000 [4 per cell]
Mn  0.2500  0.2500  0.2500 [4 per cell]
Os  0.2500  0.2500  0.7500 [4 per cell]

Results
total moment	1.6853	μB/atom
energy above the most stable polymorph in this dataset	4.58	eV/f.u.
energy of formation from the pure elements	2093.7	meV/atom

No. 9
Material: Ba2MnOs
Method: DFT, PBE-GGA
State: relaxed

a = 5.3077 Å, b = 5.3077 Å, c = 7.5623 Å
α = 90.00°, β = 90.00°, γ = 90.00°
Space group I-4m2 (No. 119)
Inequivalent atoms, fractional coordinates:
Ba  0.0000  0.0000  0.0000 [2 per cell]
Ba  0.0000  0.5000  0.2500 [2 per cell]
Mn  0.0000  0.0000  0.5000 [2 per cell]
Os  0.0000  0.5000  0.7500 [2 per cell]

Results
total moment	1.2235	μB/atom
energy above the most stable polymorph in this dataset	2.65	eV/f.u.
energy of formation from the pure elements	999.2	meV/atom

No. 10
Material: BaMnOs2
Method: DFT, PBE-GGA
State: relaxed

a = 2.9665 Å, b = 2.9665 Å, c = 30.4482 Å
α = 90.00°, β = 90.00°, γ = 120.00°
Space group R3m (No. 160, hexagonal axes)
Inequivalent atoms, fractional coordinates:
Ba  0.0000  0.0000  0.0000 [3 per cell]
Mn  0.0000  0.0000  0.7705 [3 per cell]
Os  0.0000  0.0000  0.2364 [3 per cell]
Os  0.0000  0.0000  0.5043 [3 per cell]

Results
total moment	0.9218	μB/atom
energy above the most stable polymorph in this dataset	2.95	eV/f.u.
energy of formation from the pure elements	1060.4	meV/atom

No. 11
Material: Ba2MnOs
Method: DFT, PBE-GGA
State: relaxed

a = 7.0522 Å, b = 4.0708 Å, c = 9.6084 Å
α = 90.00°, β = 104.25°, γ = 90.00°
Space group Cm (No. 8)
Inequivalent atoms, fractional coordinates:
Ba  0.0000  0.0000  0.0000 [2 per cell]
Ba  0.1753  0.0000  0.5225 [2 per cell]
Mn  0.4166  0.0000  0.2483 [2 per cell]
Os  0.2582  0.5000  0.2730 [2 per cell]

Results
total moment	0.0775	μB/atom
energy above the most stable polymorph in this dataset	0.00	eV/f.u.
energy of formation from the pure elements	336.2	meV/atom

No. 12
Material: BaMnPOs2
Method: DFT, PBE-GGA
State: relaxed

a = 5.0584 Å, b = 5.0584 Å, c = 5.1645 Å
α = 90.00°, β = 90.00°, γ = 90.00°
Space group P4/mmm (No. 123)
Inequivalent atoms, fractional coordinates:
Ba  0.0000  0.0000  0.0000 [1 per cell]
Mn  0.5000  0.5000  0.5000 [1 per cell]
P  0.0000  0.0000  0.5000 [1 per cell]
Os  0.0000  0.5000  0.0000 [2 per cell]

Results
total moment	0.2230	μB/atom
energy of formation from the pure elements	3740.3	meV/atom